Tb2Al9Ir6 | PBE | optimized geometry

Its total DFT energy (no corrections) is -106.90 eV/cell. The formation energy from the elements comes out at -0.63 eV per atom. As for the magnetic moment: 0.00 μB per atom.

Unit cell a=5.4360 b=5.4360 c=12.1117 alpha=90.00 beta=90.00 gamma=120.00
Last column: nearest neighbours and their distance in Å.
Fractional positions:
Tb  0.0000  0.0000  0.1640  6 Ir 3.14, 12 Al 3.37-3.44
Tb  0.0000  0.0000  0.8360  6 Ir 3.14, 12 Al 3.37-3.44
Al  0.0000  0.5000  0.0000  4 Ir 2.60, 4 Al 2.72
Al  0.0000  0.5000  0.3385  4 Ir 2.51-2.56, 4 Al 2.72
Al  0.0000  0.5000  0.6615  4 Ir 2.51-2.56, 4 Al 2.72
Al  0.5000  0.0000  0.0000  4 Ir 2.60, 4 Al 2.72
Al  0.5000  0.0000  0.3385  4 Ir 2.51-2.56, 4 Al 2.72
Al  0.5000  0.0000  0.6615  4 Ir 2.51-2.56, 4 Al 2.72
Al  0.5000  0.5000  0.0000  4 Ir 2.60, 4 Al 2.72
Al  0.5000  0.5000  0.3385  4 Ir 2.51-2.56, 4 Al 2.72
Al  0.5000  0.5000  0.6615  4 Ir 2.51-2.56, 4 Al 2.72
Ir  0.3333  0.6667  0.1715  6 Al 2.56-2.60
Ir  0.3333  0.6667  0.5000  6 Al 2.51
Ir  0.3333  0.6667  0.8285  6 Al 2.56-2.60
Ir  0.6667  0.3333  0.1715  6 Al 2.56-2.60
Ir  0.6667  0.3333  0.5000  6 Al 2.51
Ir  0.6667  0.3333  0.8285  6 Al 2.56-2.60